Here is crystalline La4Th3N8 at its relaxed geometry from Alexandria. Energies are from PBE.

Cell and atoms, written as POSCAR:
```
La4Th3N8
1.0
5.1749 -5.2127 0.0000
5.1749 5.2127 0.0000
-5.1664 0.0000 5.2752
La Th N
4 3 8
direct
0.0000 0.0000 0.0000
0.0000 0.5000 0.0000
0.5000 0.0000 0.0000
0.5000 0.5000 0.5000
0.0000 0.5000 0.5000
0.5000 0.0000 0.5000
0.5000 0.5000 0.0000
0.2521 0.7479 0.0000
0.2624 0.7376 0.5000
0.2645 0.2645 0.5099
0.2831 0.2831 0.0346
0.7169 0.7169 0.9654
0.7355 0.7355 0.4901
0.7376 0.2624 0.5000
0.7479 0.2521 0.0000
```

Properties
- Total DFT energy (no corrections): -8.43 eV/atom
- Magnetization: 0.00 μB/f.u.